[1]
DFT (PBE) results for a relaxed MgBiAu crystal.

Geometry as CIF:
```
data_MgBiAu
_chemical_formula_sum 'Mg2 Bi2 Au2'
_symmetry_space_group_name_H-M 'P m c 21'
_symmetry_Int_Tables_number 26
_cell_length_a 3.263
_cell_length_b 9.670
_cell_length_c 4.602
_cell_angle_alpha 90.00
_cell_angle_beta 90.00
_cell_angle_gamma 90.00
loop_
_symmetry_equiv_pos_as_xyz
'x,y,z'
'-x,-y,z+1/2'
'-x,y,z'
'x,-y,z+1/2'
loop_
_atom_site_label
_atom_site_type_symbol
_atom_site_fract_x
_atom_site_fract_y
_atom_site_fract_z
_atom_site_occupancy
Mg1 Mg 0.000 0.100 0.000 1
Bi1 Bi 0.500 0.383 0.999 1
Au1 Au 0.500 0.146 0.500 1
```

Summary:
**Density**: 9.842 g cm⁻³
**Calculated volume**: 24.20 Å³ per atom
**Formation energy**: -0.251 eV/atom

[2]
DFT (PBE) results for a relaxed CaPuNi2H8 crystal.

Geometry as CIF:
```
data_CaPuNi2H8
_chemical_formula_sum 'Ca3 Pu3 Ni6 H24'
_symmetry_space_group_name_H-M 'R -3 m'
_symmetry_Int_Tables_number 166
_symmetry_space_group_name_Hall '-R 3 2"'
_cell_length_a 4.4617
_cell_length_b 4.4617
_cell_length_c 18.7446
_cell_angle_alpha 90.00
_cell_angle_beta 90.00
_cell_angle_gamma 120.00
loop_
_atom_site_label
_atom_site_type_symbol
_atom_site_fract_x
_atom_site_fract_y
_atom_site_fract_z
_atom_site_occupancy
Ca1 Ca 0.0000 0.0000 0.0000 1
Pu1 Pu 0.0000 0.0000 0.5000 1
Ni1 Ni 0.0000 0.0000 0.2333 1
H1 H 0.0000 0.0000 0.1474 1
H2 H 0.0340 0.5170 0.0633 1
```

Summary:
**Density**: 6.313 g cm⁻³
**Calculated volume**: 8.98 Å³ per atom
**Calculated total energy**: -4.747 eV per atom

[3]
DFT (PBE) results for a relaxed SbMoOs2 crystal.

Geometry as CIF:
```
data_SbMoOs2
_chemical_formula_sum 'Sb2 Mo2 Os4'
_symmetry_space_group_name_H-M 'A m m 2'
_symmetry_Int_Tables_number 38
_cell_length_a 4.120
_cell_length_b 2.879
_cell_length_c 11.135
_cell_angle_alpha 90.00
_cell_angle_beta 90.00
_cell_angle_gamma 90.00
loop_
_symmetry_equiv_pos_as_xyz
'x,y,z'
'-x,-y,z'
'-x,y,z'
'x,-y,z'
'x,y+1/2,z+1/2'
'-x,-y+1/2,z+1/2'
'-x,y+1/2,z+1/2'
'x,-y+1/2,z+1/2'
loop_
_atom_site_label
_atom_site_type_symbol
_atom_site_fract_x
_atom_site_fract_y
_atom_site_fract_z
_atom_site_occupancy
Sb1 Sb 0.000 0.000 0.000 1
Mo1 Mo 0.500 0.000 0.617 1
Os1 Os 0.000 0.000 0.248 1
Os2 Os 0.500 0.000 0.845 1
```

Summary:
**Density**: 15.043 g cm⁻³
**Formation energy from raw total energies**: 0.4302 eV per atom
**Calculated volume**: 16.51 Å³ per atom

[4]
DFT (PBE) results for a relaxed LiHgIr2 crystal.

Geometry as CIF:
```
data_LiHgIr2
_chemical_formula_sum 'Li2 Hg2 Ir4'
_symmetry_space_group_name_H-M 'C m m m'
_symmetry_Int_Tables_number 65
_symmetry_space_group_name_Hall '-C 2 2'
_cell_length_a 2.869
_cell_length_b 4.733
_cell_length_c 9.328
_cell_angle_alpha 90.00
_cell_angle_beta 90.00
_cell_angle_gamma 90.00
loop_
_atom_site_label
_atom_site_type_symbol
_atom_site_fract_x
_atom_site_fract_y
_atom_site_fract_z
_atom_site_occupancy
Li1 Li 0.000 0.000 0.000 1
Hg1 Hg 0.000 0.000 0.500 1
Ir1 Ir 0.000 0.500 0.234 1
```

Summary:
**Density**: 15.523 g cm⁻³
**Calculated volume**: 15.83 Å³ per atom
**Formation energy**: 0.320 eV/atom

[5]
DFT (PBE) results for a relaxed Ta2CuAsBr crystal.

Geometry as CIF:
```
data_Ta2CuAsBr
_chemical_formula_sum 'Ta2 Cu1 As1 Br1'
_symmetry_space_group_name_H-M 'P 4/m m m'
_symmetry_Int_Tables_number 123
_symmetry_space_group_name_Hall '-P 4 2'
_cell_length_a 4.706
_cell_length_b 4.706
_cell_length_c 5.101
_cell_angle_alpha 90.00
_cell_angle_beta 90.00
_cell_angle_gamma 90.00
loop_
_atom_site_label
_atom_site_type_symbol
_atom_site_fract_x
_atom_site_fract_y
_atom_site_fract_z
_atom_site_occupancy
Ta1 Ta 0.000 0.500 0.000 1
Cu1 Cu 0.000 0.000 0.500 1
As1 As 0.500 0.500 0.500 1
Br1 Br 0.500 0.500 0.000 1
```

Summary:
**Density**: 8.531 g cm⁻³
**Formation energy from raw total energies**: 1.7979 eV per atom
**Calculated volume**: 22.59 Å³ per atom

[6]
DFT (PBE) results for a relaxed Cs2HgSbPt crystal.

Geometry as CIF:
```
data_Cs2HgSbPt
_chemical_formula_sum 'Cs2 Hg1 Sb1 Pt1'
_symmetry_space_group_name_H-M 'P 4/m m m'
_symmetry_Int_Tables_number 123
_symmetry_space_group_name_Hall '-P 4 2'
_cell_length_a 6.977
_cell_length_b 6.977
_cell_length_c 5.001
_cell_angle_alpha 90.00
_cell_angle_beta 90.00
_cell_angle_gamma 90.00
loop_
_atom_site_label
_atom_site_type_symbol
_atom_site_fract_x
_atom_site_fract_y
_atom_site_fract_z
_atom_site_occupancy
Cs1 Cs 0.000 0.500 0.000 1
Hg1 Hg 0.000 0.000 0.500 1
Sb1 Sb 0.500 0.500 0.500 1
Pt1 Pt 0.500 0.500 0.000 1
```

Summary:
**Density**: 5.343 g cm⁻³
**Formation energy from raw total energies**: -0.2759 eV per atom
**Calculated volume**: 48.69 Å³ per atom

[7]
DFT (PBE) results for a relaxed Cs8Au5Cl crystal.

Geometry as CIF:
```
data_Cs8Au5Cl
_chemical_formula_sum 'Cs16 Au10 Cl2'
_symmetry_space_group_name_H-M 'I -4'
_symmetry_Int_Tables_number 82
_cell_length_a 10.975
_cell_length_b 10.975
_cell_length_c 11.002
_cell_angle_alpha 90.00
_cell_angle_beta 90.00
_cell_angle_gamma 90.00
loop_
_symmetry_equiv_pos_as_xyz
'x,y,z'
'y,-x,-z'
'-x,-y,z'
'-y,x,-z'
'x+1/2,y+1/2,z+1/2'
'y+1/2,-x+1/2,-z+1/2'
'-x+1/2,-y+1/2,z+1/2'
'-y+1/2,x+1/2,-z+1/2'
loop_
_atom_site_label
_atom_site_type_symbol
_atom_site_fract_x
_atom_site_fract_y
_atom_site_fract_z
_atom_site_occupancy
Cs1 Cs 0.067 0.313 0.449 1
Cs2 Cs 0.072 0.179 0.808 1
Au1 Au 0.000 0.500 0.750 1
Au2 Au 0.127 0.250 0.129 1
Cl1 Cl 0.000 0.000 0.500 1
```

Summary:
**Density**: 5.222 g cm⁻³
**Formation energy from raw total energies**: -0.5065 eV per atom
**Calculated volume**: 47.33 Å³ per atom

[8]
DFT (PBE) results for a relaxed InTcNi crystal.

Geometry as CIF:
```
data_InTcNi
_chemical_formula_sum 'In4 Tc4 Ni4'
_symmetry_space_group_name_H-M 'F -4 3 m'
_symmetry_Int_Tables_number 216
_symmetry_space_group_name_Hall 'F -4 2 3'
_cell_length_a 5.914
_cell_length_b 5.914
_cell_length_c 5.914
_cell_angle_alpha 90.00
_cell_angle_beta 90.00
_cell_angle_gamma 90.00
loop_
_atom_site_label
_atom_site_type_symbol
_atom_site_fract_x
_atom_site_fract_y
_atom_site_fract_z
_atom_site_occupancy
In1 In 0.000 0.000 0.000 1
Tc1 Tc 0.000 0.000 0.500 1
Ni1 Ni 0.250 0.250 0.250 1
```

Summary:
**Density**: 8.717 g cm⁻³
**Calculated volume**: 17.24 Å³ per atom
**Energy relative to the lowest polymorph listed for this composition**: 0.92 eV per formula unit
**Formation energy**: 0.345 eV/atom